No. 1
# Li2YTm2Tl2, relaxed, DFT GGA-PBE
data_Li2YTm2Tl2
_chemical_formula_sum 'Li6 Y3 Tm6 Tl6'
_cell_length_a 4.7934
_cell_length_b 4.7934
_cell_length_c 26.6217
_cell_angle_alpha 90.00
_cell_angle_beta 90.00
_cell_angle_gamma 120.00
_symmetry_space_group_name_H-M 'R -3 m'
_symmetry_Int_Tables_number 166
_symmetry_space_group_name_Hall '-R 3 2"'
loop_
_atom_site_label
_atom_site_type_symbol
_atom_site_fract_x
_atom_site_fract_y
_atom_site_fract_z
_atom_site_occupancy
Li1 Li 0.0000 0.0000 0.0995 1
Y1 Y 0.0000 0.0000 0.5000 1
Tm1 Tm 0.0000 0.0000 0.3720 1
Tl1 Tl 0.0000 0.0000 0.2394 1
# * D(E_F): 13.6 states/eV per cell
# * volume: 530 Å³ per cell
# * formation enthalpy at 0 K: -0.1738 eV/atom

=====

No. 2
# LiYTm2Tl4, relaxed, DFT GGA-PBE
data_LiYTm2Tl4
_chemical_formula_sum 'Li3 Y3 Tm6 Tl12'
_cell_length_a 5.2080
_cell_length_b 5.2080
_cell_length_c 26.2937
_cell_angle_alpha 90.00
_cell_angle_beta 90.00
_cell_angle_gamma 120.00
_symmetry_space_group_name_H-M 'R -3 m'
_symmetry_Int_Tables_number 166
_symmetry_space_group_name_Hall '-R 3 2"'
loop_
_atom_site_label
_atom_site_type_symbol
_atom_site_fract_x
_atom_site_fract_y
_atom_site_fract_z
_atom_site_occupancy
Li1 Li 0.0000 0.0000 0.0000 1
Y1 Y 0.0000 0.0000 0.5000 1
Tm1 Tm 0.0000 0.0000 0.2538 1
Tl1 Tl 0.0000 0.0000 0.1220 1
Tl2 Tl 0.0000 0.0000 0.3722 1
# * D(E_F): 13.3 states/eV per cell
# * volume: 618 Å³ per cell
# * formation enthalpy at 0 K: -0.3136 eV/atom

=====

No. 3
# LiTlV3, relaxed, DFT GGA-PBE
data_LiTlV3
_chemical_formula_sum 'Li1 Tl1 V3'
_cell_length_a 4.252
_cell_length_b 4.252
_cell_length_c 4.252
_cell_angle_alpha 90.00
_cell_angle_beta 90.00
_cell_angle_gamma 90.00
_symmetry_space_group_name_H-M 'P m -3 m'
_symmetry_Int_Tables_number 221
_symmetry_space_group_name_Hall '-P 4 2 3'
loop_
_atom_site_label
_atom_site_type_symbol
_atom_site_fract_x
_atom_site_fract_y
_atom_site_fract_z
_atom_site_occupancy
Li1 Li 0.000 0.000 0.000 1
Tl1 Tl 0.500 0.500 0.500 1
V1 V 0.000 0.000 0.500 1
# * polymorph energy (0 for the lowest one): 0 meV/atom
# * D(E_F): 8.0 states/eV per cell
# * volume: 77 Å³ per cell
# * formation enthalpy at 0 K: 1.0914 eV/atom

=====

No. 4
# LiTlV3, relaxed, DFT GGA-PBE
data_LiTlV3
_chemical_formula_sum 'Li1 Tl1 V3'
_cell_length_a 5.226
_cell_length_b 5.226
_cell_length_c 5.226
_cell_angle_alpha 90.00
_cell_angle_beta 90.00
_cell_angle_gamma 90.00
_symmetry_space_group_name_H-M 'P m -3 m'
_symmetry_Int_Tables_number 221
_symmetry_space_group_name_Hall '-P 4 2 3'
loop_
_atom_site_label
_atom_site_type_symbol
_atom_site_fract_x
_atom_site_fract_y
_atom_site_fract_z
_atom_site_occupancy
Li1 Li 0.000 0.000 0.000 1
Tl1 Tl 0.500 0.500 0.500 1
V1 V 0.000 0.500 0.500 1
# * polymorph energy (0 for the lowest one): 592 meV/atom
# * D(E_F): 13.3 states/eV per cell
# * volume: 143 Å³ per cell
# * formation enthalpy at 0 K: 1.6835 eV/atom

=====

No. 5
# LiTl3V, relaxed, DFT GGA-PBE
data_LiTl3V
_chemical_formula_sum 'Li1 Tl3 V1'
_cell_length_a 5.041
_cell_length_b 5.041
_cell_length_c 5.041
_cell_angle_alpha 90.00
_cell_angle_beta 90.00
_cell_angle_gamma 90.00
_symmetry_space_group_name_H-M 'P m -3 m'
_symmetry_Int_Tables_number 221
_symmetry_space_group_name_Hall '-P 4 2 3'
loop_
_atom_site_label
_atom_site_type_symbol
_atom_site_fract_x
_atom_site_fract_y
_atom_site_fract_z
_atom_site_occupancy
Li1 Li 0.000 0.000 0.000 1
Tl1 Tl 0.000 0.000 0.500 1
V1 V 0.500 0.500 0.500 1
# * polymorph energy (0 for the lowest one): 235 meV/atom
# * D(E_F): 7.7 states/eV per cell
# * volume: 128 Å³ per cell
# * formation enthalpy at 0 K: 0.6520 eV/atom

=====

No. 6
# LiTl3V, relaxed, DFT GGA-PBE
data_LiTl3V
_chemical_formula_sum 'Li1 Tl3 V1'
_cell_length_a 5.283
_cell_length_b 5.283
_cell_length_c 5.283
_cell_angle_alpha 90.00
_cell_angle_beta 90.00
_cell_angle_gamma 90.00
_symmetry_space_group_name_H-M 'P m -3 m'
_symmetry_Int_Tables_number 221
_symmetry_space_group_name_Hall '-P 4 2 3'
loop_
_atom_site_label
_atom_site_type_symbol
_atom_site_fract_x
_atom_site_fract_y
_atom_site_fract_z
_atom_site_occupancy
Li1 Li 0.000 0.000 0.000 1
Tl1 Tl 0.000 0.500 0.500 1
V1 V 0.500 0.500 0.500 1
# * polymorph energy (0 for the lowest one): 0 meV/atom
# * D(E_F): 3.8 states/eV per cell
# * volume: 147 Å³ per cell
# * formation enthalpy at 0 K: 0.4171 eV/atom